Material: SrY2Sb2
Method: DFT, PBE
State: optimized geometry

N(E_F): 0.636 states/eV per cell
uncorrected formation energy: -621 meV per atom

The structure in POSCAR format:
```
SrY2Sb2
1.0
-3.1587 -3.4216 -3.4436
4.8421 -2.5136 -1.9440
0.5154 -6.6819 1.2961
Sr Sb Y
1 2 2
Cartesian
0.0000 0.0000 0.0000
-0.9008 -6.5355 -2.4206
3.0996 -6.0815 -1.6708
0.7312 -4.2249 -1.3432
1.4675 -8.3922 -2.7483
```